No. 1
Density functional theory data (PBE-GGA) for Zr2Sb after structural relaxation.

As for the total magnetic moment: 0.00 μB/cell. The calculation puts the density at 7.33 g cm⁻³. The value obtained for the total energy is -7.60 eV/atom.

Lattice parameters (Å, degrees): 5.660 5.660 5.660 105.82 105.82 117.05
Atoms (fractional coordinates):
Zr  0.153  0.653  0.806
Zr  0.347  0.153  0.500
Zr  0.653  0.847  0.500
Zr  0.847  0.347  0.194
Sb  0.250  0.250  0.000
Sb  0.750  0.750  0.000


No. 2
Density functional theory data (PBE-GGA) for Nd4DyEr2 after structural relaxation.

As for the total magnetic moment: 0.00 μB/cell. The calculation puts the density at 7.57 g cm⁻³. The relative energy among the computed polymorphs is 0.000 eV per atom. Its formation enthalpy at 0 K is 0.059 eV/atom. The value obtained for the total energy is -4.63 eV/atom.

Lattice parameters (Å, degrees): 12.565 6.813 13.542 67.06 29.96 82.98
Atoms (fractional coordinates):
Nd  0.018  0.982  0.122
Nd  0.128  0.372  0.232
Nd  0.372  0.128  0.268
Nd  0.456  0.605  0.257
Nd  0.568  0.993  0.645
Nd  0.605  0.456  0.682
Nd  0.982  0.018  0.878
Nd  0.993  0.568  0.794
Dy  0.495  0.495  0.505
Dy  0.745  0.745  0.755
Er  0.064  0.546  0.004
Er  0.246  0.864  0.186
Er  0.546  0.064  0.386
Er  0.864  0.246  0.704


No. 3
Density functional theory data (PBE-GGA) for Sr2Zn2Ge after structural relaxation.

As for the total magnetic moment: 0.00 μB/cell. The calculation puts the density at 4.77 g cm⁻³. The relative energy among the computed polymorphs is 0.147 eV per atom. Its formation enthalpy at 0 K is -0.234 eV/atom. The value obtained for the total energy is -2.34 eV/atom.

Lattice parameters (Å, degrees): 7.366 7.366 4.860 90.00 90.00 90.00
Atoms (fractional coordinates):
Sr  0.189  0.311  0.000
Sr  0.311  0.811  0.000
Sr  0.689  0.189  0.000
Sr  0.811  0.689  0.000
Zn  0.119  0.619  0.500
Zn  0.381  0.119  0.500
Zn  0.619  0.881  0.500
Zn  0.881  0.381  0.500
Ge  0.000  0.000  0.500
Ge  0.500  0.500  0.500